Compound: MnCdCu4Sn2Se8
Source: the Alexandria database
Functional: PBE-GGA
Structure: optimized geometry

Results
As for the total energy: -4.2490 eV per atom. Its space group is C2, No. 5. Its energy relative to the elements, uncorrected is -0.35 eV/atom.

a = 7.1139 Å, b = 7.1139 Å, c = 11.7122 Å
α = 65.69°, β = 65.69°, γ = 48.64°
With the nearest neighbours (Å) after each atom.
Element x y z (fractional)
Mn1 0.9995 0.0005 0.0000  4 Se 2.54
Cd1 0.0006 0.9994 0.5000  4 Se 2.69
Cu1 0.7489 0.7470 0.8788  4 Se 2.44-2.45
Cu2 0.7509 0.7533 0.3712  4 Se 2.44
Cu3 0.2530 0.2511 0.1212  4 Se 2.44-2.45
Cu4 0.2467 0.2491 0.6288  4 Se 2.44
Sn1 0.5006 0.5002 0.7533  4 Se 2.62-2.63
Sn2 0.4998 0.4994 0.2467  4 Se 2.62-2.63
Se1 0.6042 0.1131 0.7003  2 Cu 2.44, 1 Sn 2.62, 1 Cd 2.69
Se2 0.6200 0.1086 0.1875  2 Cu 2.44, 1 Mn 2.54, 1 Sn 2.63
Se3 0.1063 0.6243 0.9457  2 Cu 2.44-2.45, 1 Mn 2.54, 1 Sn 2.62
Se4 0.1154 0.5998 0.4432  2 Cu 2.44, 1 Sn 2.62, 1 Cd 2.69
Se5 0.3757 0.8937 0.0543  2 Cu 2.44-2.45, 1 Mn 2.54, 1 Sn 2.62
Se6 0.4002 0.8846 0.5568  2 Cu 2.44, 1 Sn 2.62, 1 Cd 2.69
Se7 0.8869 0.3958 0.2997  2 Cu 2.44, 1 Sn 2.62, 1 Cd 2.69
Se8 0.8914 0.3800 0.8125  2 Cu 2.44, 1 Mn 2.54, 1 Sn 2.63